[1]
! Mn3Nb2Os GGA-PBE optimized geometry; values from VASP
! symmetry = C2/m, No. 12
! uncorrected energy = -0.7333 Ry per atom
&SYSTEM
  ibrav = 0, nat = 12, ntyp = 3
/
ATOMIC_SPECIES
Mn 54.94 Mn.upf
Nb 92.91 Nb.upf
Os 190.23 Os.upf
ATOMIC_POSITIONS crystal
Mn 0.000 0.000 0.000
Mn 0.250 0.250 0.000
Mn 0.250 0.750 0.000
Mn 0.500 0.500 0.000
Mn 0.750 0.250 0.000
Mn 0.750 0.750 0.000
Nb 0.123 0.500 0.369
Nb 0.377 0.000 0.631
Nb 0.623 0.000 0.369
Nb 0.877 0.500 0.631
Os 0.000 0.000 0.500
Os 0.500 0.500 0.500
CELL_PARAMETERS angstrom
8.422 0.000 0.000
0.000 4.911 0.000
-2.852 0.000 4.114


[2]
! MnNb3Os GGA-PBE optimized geometry; values from VASP
! symmetry = Pm-3m, No. 221
! uncorrected energy = -0.6737 Ry per atom
&SYSTEM
  ibrav = 0, nat = 5, ntyp = 3
/
ATOMIC_SPECIES
Mn 54.94 Mn.upf
Nb 92.91 Nb.upf
Os 190.23 Os.upf
ATOMIC_POSITIONS crystal
Mn 0.000 0.000 0.000
Nb 0.000 0.000 0.500
Nb 0.000 0.500 0.000
Nb 0.500 0.000 0.000
Os 0.500 0.500 0.500
CELL_PARAMETERS angstrom
4.499 0.000 0.000
0.000 4.499 0.000
0.000 0.000 4.499


[3]
! Mn8Nb3Os GGA-PBE optimized geometry; values from VASP
! symmetry = P3m1, No. 156
! uncorrected energy = -0.7130 Ry per atom
&SYSTEM
  ibrav = 0, nat = 12, ntyp = 3
/
ATOMIC_SPECIES
Mn 54.94 Mn.upf
Nb 92.91 Nb.upf
Os 190.23 Os.upf
ATOMIC_POSITIONS crystal
Mn 0.000 0.000 0.000
Mn 0.000 0.000 0.499
Mn 0.172 0.344 0.749
Mn 0.172 0.828 0.749
Mn 0.344 0.172 0.256
Mn 0.656 0.828 0.749
Mn 0.828 0.172 0.256
Mn 0.828 0.656 0.256
Nb 0.333 0.667 0.067
Nb 0.333 0.667 0.445
Nb 0.667 0.333 0.937
Os 0.667 0.333 0.576
CELL_PARAMETERS angstrom
4.760 0.000 0.000
-2.380 4.122 0.000
0.000 0.000 7.847


[4]
! MnNbOsPd GGA-PBE optimized geometry; values from VASP
! symmetry = F-43m, No. 216
! uncorrected energy = -0.6596 Ry per atom
&SYSTEM
  ibrav = 0, nat = 16, ntyp = 4
/
ATOMIC_SPECIES
Mn 54.94 Mn.upf
Nb 92.91 Nb.upf
Os 190.23 Os.upf
Pd 106.42 Pd.upf
ATOMIC_POSITIONS crystal
Mn 0.000 0.000 0.000
Mn 0.000 0.500 0.500
Mn 0.500 0.000 0.500
Mn 0.500 0.500 0.000
Nb 0.000 0.000 0.500
Nb 0.000 0.500 0.000
Nb 0.500 0.000 0.000
Nb 0.500 0.500 0.500
Os 0.250 0.250 0.250
Os 0.250 0.750 0.750
Os 0.750 0.250 0.750
Os 0.750 0.750 0.250
Pd 0.250 0.250 0.750
Pd 0.250 0.750 0.250
Pd 0.750 0.250 0.250
Pd 0.750 0.750 0.750
CELL_PARAMETERS angstrom
6.298 0.000 0.000
0.000 6.298 0.000
0.000 0.000 6.298


| no. | formation energy from the elements (eV/atom) |
| --- | --- |
| 1 | -0.16 |
| 2 | 0.96 |
| 3 | -0.14 |
| 4 | -0.06 |